GdTm2Cd: optimized geometry, PBE.

```
GdTm2Cd
1.0
3.532 0.000 0.000
1.766 3.058 0.000
1.766 1.019 10.725
Tm Gd Cd
2 1 1
Cartesian
5.297 3.058 8.239 Tm
1.766 1.019 2.486 Tm
3.532 2.039 5.363 Gd
0.000 0.000 0.000 Cd
```

symmetry = R-3m (166)
DOS at the Fermi energy = 1.149 states/eV per atom
excess energy over the best structure of this formula in the dataset = 0.070 eV per atom
formation enthalpy at 0 K = -1.537 kcal/mol of atoms

LaErZr2: optimized geometry, PBE.

```
LaErZr2
1.0
-2.494 -0.775 -2.131
0.470 -2.365 -2.356
-4.290 -8.781 5.546
Er La Zr
1 1 2
Cartesian
-5.638 -10.871 2.552 Er
-3.153 -5.952 0.522 La
-1.552 -2.924 0.214 Zr
-3.418 -6.915 3.848 Zr
```

symmetry = R3m (160)
DOS at the Fermi energy = 1.396 states/eV per atom
excess energy over the best structure of this formula in the dataset = 0.000 eV per atom
formation enthalpy at 0 K = 3.720 kcal/mol of atoms

Nb3FeS6: optimized geometry, PBE.

```
Nb3FeS6
1.0
-0.229 -0.459 5.894
-2.242 -7.436 -0.666
7.762 -0.684 0.248
Nb S Fe
6 12 2
Cartesian
3.691 -3.543 2.039 Nb
1.746 -0.895 5.693 Nb
3.449 -7.876 2.246 Nb
5.605 -6.573 5.401 Nb
1.547 -5.142 4.801 Nb
-0.410 -2.198 2.538 Nb
5.288 -2.564 4.101 S
3.854 -1.186 1.392 S
0.030 -5.960 0.663 S
7.386 -0.984 1.108 S
3.829 -5.525 3.648 S
-2.050 -7.505 3.204 S
1.448 -7.370 3.787 S
3.352 -5.695 0.647 S
5.907 -4.208 1.237 S
1.502 -2.973 0.787 S
-0.605 -4.348 3.943 S
1.979 -2.803 3.788 S
5.607 -2.165 0.574 Fe
-0.243 -6.266 2.997 Fe
```

uncorrected formation energy = -730.4 meV/atom
symmetry = Cmc2_1 (36)
DOS at the Fermi energy = 0.507 states/eV per atom
excess energy over the best structure of this formula in the dataset = 0.283 eV per atom

RbPm2Te3: optimized geometry, PBE.

```
RbPm2Te3
1.0
-1.592 2.749 3.016
1.074 -5.461 5.545
12.615 4.800 2.284
Te Rb Pm
6 2 4
Cartesian
5.396 0.478 2.413 Te
8.332 -1.339 5.620 Te
0.559 1.094 2.480 Te
11.292 2.243 7.099 Te
8.124 3.271 4.488 Te
3.984 -1.239 6.414 Te
2.023 -2.258 3.126 Rb
11.164 4.154 2.107 Rb
10.172 0.862 4.585 Pm
3.007 1.070 0.612 Pm
5.518 3.698 2.724 Pm
6.071 0.973 5.499 Pm
```

uncorrected formation energy = -1297.0 meV/atom
symmetry = Pmc2_1 (26)
DOS at the Fermi energy = 0.290 states/eV per atom
excess energy over the best structure of this formula in the dataset = 0.111 eV per atom

YZnRhO2: optimized geometry, PBE.

```
YZnRhO2
1.0
-3.418 0.454 -2.295
2.623 -3.644 -4.627
-1.623 -3.387 1.747
Zn Y O Rh
1 1 2 1
Cartesian
1.311 -1.822 -2.314 Zn
0.000 0.000 0.000 Y
-1.709 0.227 -1.148 O
-0.812 -1.694 0.874 O
-1.209 -3.289 -2.587 Rh
```

uncorrected formation energy = -446.2 meV/atom
symmetry = P4/mmm (123)
DOS at the Fermi energy = 1.034 states/eV per atom

K2PaAs2O6: optimized geometry, PBE.

```
K2PaAs2O6
1.0
6.862 0.000 0.000
-3.431 4.879 0.073
0.000 -2.672 5.971
O Pa As K
6 1 2 2
Cartesian
3.431 0.543 4.371 O
-1.463 2.635 4.313 O
1.968 -0.429 1.731 O
4.893 -0.429 1.731 O
0.000 1.664 1.673 O
1.463 2.635 4.313 O
3.431 -1.336 2.985 Pa
3.431 2.288 4.651 As
0.000 -0.082 1.393 As
3.431 1.625 0.743 K
0.000 0.581 5.301 K
```

uncorrected formation energy = -1963.1 meV/atom
symmetry = C2/m (12)
DOS at the Fermi energy = 0.211 states/eV per atom

GeMo2H2: optimized geometry, PBE.

```
GeMo2H2
1.0
-5.778 0.218 1.002
0.381 -4.869 3.254
0.504 1.729 2.528
H Mo Ge
4 4 2
Cartesian
-2.023 -4.341 3.372 H
-3.375 -0.310 0.884 H
-5.034 -2.674 2.832 H
-0.364 -1.977 1.425 H
-0.352 -2.254 3.518 Mo
-4.542 -0.667 3.267 Mo
-3.163 -3.147 4.688 Mo
-1.731 0.225 2.097 Mo
-2.699 -2.325 2.128 Ge
0.000 0.000 0.000 Ge
```

symmetry = P4/mbm (127)
DOS at the Fermi energy = 0.521 states/eV per atom
excess energy over the best structure of this formula in the dataset = 0.258 eV per atom

KNbP2Cl: optimized geometry, PBE.

```
KNbP2Cl
1.0
4.830 0.000 0.000
0.000 4.830 0.000
0.000 0.000 5.326
P Nb Cl K
2 1 1 1
Cartesian
2.415 0.000 0.000 P
0.000 2.415 0.000 P
0.000 0.000 0.000 Nb
0.000 0.000 2.663 Cl
2.415 2.415 2.663 K
```

uncorrected formation energy = -503.7 meV/atom
symmetry = P4/mmm (123)
DOS at the Fermi energy = 0.594 states/eV per atom
excess energy over the best structure of this formula in the dataset = 0.000 eV per atom

Hf3HgC: optimized geometry, PBE.

```
Hf3HgC
1.0
3.250 0.000 0.000
0.000 4.323 -3.602
0.000 4.323 3.602
Hf C Hg
3 1 1
Cartesian
0.000 4.323 0.686 Hf
1.625 5.860 -1.576 Hf
1.625 2.785 -1.576 Hf
0.000 4.323 -1.542 C
1.625 4.323 3.085 Hg
```

symmetry = Amm2 (38)
DOS at the Fermi energy = 1.085 states/eV per atom
excess energy over the best structure of this formula in the dataset = 0.515 eV per atom
formation enthalpy at 0 K = 0.139 kcal/mol of atoms

LiTiGa: optimized geometry, PBE.

```
LiTiGa
1.0
0.783 -2.765 3.252
-0.820 1.179 4.096
-3.305 -1.805 2.157
Ga Li Ti
1 1 1
Cartesian
-2.506 -2.544 7.129 Ga
-0.835 -0.848 2.376 Li
-1.671 -1.696 4.753 Ti
```

symmetry = F-43m (216)
DOS at the Fermi energy = 0.160 states/eV per atom
excess energy over the best structure of this formula in the dataset = 0.708 eV per atom
formation enthalpy at 0 K = 9.746 kcal/mol of atoms

LiNdMnSe3: optimized geometry, PBE.

```
LiNdMnSe3
1.0
-0.974 1.850 -3.423
-2.547 -6.858 -2.981
-7.043 3.599 3.948
Se Mn Nd Li
6 2 2 2
Cartesian
-3.915 -4.361 -4.768 Se
-7.631 -0.334 0.815 Se
-2.932 -1.075 -3.271 Se
-4.934 1.580 -1.267 Se
-5.630 -2.988 -1.188 Se
-6.648 2.952 2.312 Se
-7.501 2.171 -0.218 Mn
-3.062 -3.580 -2.238 Mn
-8.096 -1.346 -1.949 Nd
-2.468 -0.063 -0.507 Nd
-5.860 -3.331 -3.658 Li
-4.704 1.922 1.202 Li
```

uncorrected formation energy = -1190.5 meV/atom
symmetry = P2_1/m (11)
DOS at the Fermi energy = 0.039 states/eV per atom

TbU2Te5: optimized geometry, PBE.

```
TbU2Te5
1.0
-5.131 -1.098 -0.952
1.326 -7.240 1.201
-1.539 0.919 7.239
U Tb Te
2 1 5
Cartesian
-3.335 -0.089 3.144 U
-1.903 -4.169 0.125 U
0.000 0.000 0.000 Tb
-0.060 -1.774 2.369 Te
-0.153 -4.547 6.071 Te
-2.566 -0.549 -0.476 Te
0.522 -4.950 2.896 Te
-0.735 -1.371 5.545 Te
```

uncorrected formation energy = -34.2 meV/atom
symmetry = P4/mmm (123)
DOS at the Fermi energy = 0.770 states/eV per atom

Tl3ZnPd12: optimized geometry, PBE.

```
Tl3ZnPd12
1.0
4.067 0.000 0.000
0.000 4.067 0.000
0.000 0.000 15.959
Zn Pd Tl
1 12 3
Cartesian
0.000 0.000 0.000 Zn
0.000 2.033 1.829 Pd
2.033 2.033 12.085 Pd
2.033 0.000 14.130 Pd
2.033 2.033 0.000 Pd
2.033 0.000 5.926 Pd
0.000 2.033 10.032 Pd
2.033 0.000 10.032 Pd
2.033 2.033 7.979 Pd
0.000 2.033 5.926 Pd
2.033 0.000 1.829 Pd
2.033 2.033 3.874 Pd
0.000 2.033 14.130 Pd
0.000 0.000 3.884 Tl
0.000 0.000 12.074 Tl
0.000 0.000 7.979 Tl
```

symmetry = P4/mmm (123)
DOS at the Fermi energy = 1.098 states/eV per atom
formation enthalpy at 0 K = -4.827 kcal/mol of atoms

Th4P5O: optimized geometry, PBE.

```
Th4P5O
1.0
-2.511 0.247 3.185
-5.682 -0.982 -4.403
7.858 -7.070 4.151
Th P O
4 5 1
Cartesian
-1.240 -0.431 -0.944 Th
0.585 -3.037 3.288 Th
0.905 -7.373 3.877 Th
-0.919 -4.768 -0.355 Th
-4.096 -0.367 -0.609 P
2.202 -4.915 4.709 P
0.364 -2.410 0.474 P
-0.699 -5.394 2.459 P
-2.537 -2.890 -1.776 P
-1.255 0.123 1.593 O
```

uncorrected formation energy = -1303.1 meV/atom
symmetry = C2/m (12)
DOS at the Fermi energy = 0.434 states/eV per atom

PmZnF4: optimized geometry, PBE.

```
PmZnF4
1.0
-2.791 -1.658 4.957
-2.865 -4.215 -3.023
4.779 1.232 -0.439
F Pm Zn
4 1 1
Cartesian
-2.921 -2.622 3.127 F
3.288 0.010 0.324 F
-2.499 -3.457 -1.129 F
0.377 -3.214 0.668 F
-0.420 -1.682 2.742 Pm
-2.828 -2.937 0.967 Zn
```

uncorrected formation energy = -2797.2 meV/atom
symmetry = I-4 (82)
DOS at the Fermi energy = 0.328 states/eV per atom

Pr5Er4Pb4: optimized geometry, PBE.

```
Pr5Er4Pb4
1.0
4.559 0.000 1.159
2.279 9.407 0.580
-0.038 0.000 9.696
Pb Er Pr
4 4 5
Cartesian
0.698 1.481 6.799 Pb
6.102 7.926 4.636 Pb
2.606 6.417 8.841 Pb
4.194 2.989 2.594 Pb
5.249 4.709 7.989 Er
3.399 2.958 5.723 Er
1.551 4.697 3.446 Er
3.401 6.449 5.712 Er
0.000 0.000 0.000 Pr
5.265 8.574 7.929 Pr
1.535 0.832 3.506 Pr
4.354 6.387 1.966 Pr
2.446 3.020 9.469 Pr
```

symmetry = I4/m (87)
DOS at the Fermi energy = 1.293 states/eV per atom
formation enthalpy at 0 K = -8.986 kcal/mol of atoms

Na3Sm2PaSe6: optimized geometry, PBE.

```
Na3Sm2PaSe6
1.0
7.250 -0.001 0.000
-3.624 6.279 0.000
-1.210 -2.094 7.058
Se Pa Na Sm
6 1 3 2
Cartesian
-1.185 2.052 1.668 Se
2.369 -0.001 1.668 Se
3.601 2.132 5.390 Se
0.047 4.185 5.390 Se
-0.026 -0.044 5.395 Se
2.442 4.229 1.663 Se
0.000 0.000 0.000 Pa
4.811 0.011 3.529 Na
1.208 2.092 3.529 Na
-2.395 4.173 3.529 Na
3.624 2.094 0.000 Sm
0.003 4.185 0.000 Sm
```

uncorrected formation energy = -1535.3 meV/atom
symmetry = C2/m (12)
DOS at the Fermi energy = 0.584 states/eV per atom

CeNi2Ge2Ir: optimized geometry, PBE.

```
CeNi2Ge2Ir
1.0
4.744 0.000 0.000
0.000 4.744 0.000
0.000 0.000 5.217
Ce Ni Ir Ge
1 2 1 2
Cartesian
0.000 0.000 2.608 Ce
2.372 2.372 3.894 Ni
2.372 2.372 1.323 Ni
0.000 0.000 0.000 Ir
0.000 2.372 0.000 Ge
2.372 0.000 0.000 Ge
```

symmetry = P4/mmm (123)
DOS at the Fermi energy = 1.332 states/eV per atom
formation enthalpy at 0 K = -0.252 kcal/mol of atoms

Y2AlP: optimized geometry, PBE.

```
Y2AlP
1.0
2.881 3.602 2.035
-1.788 2.827 3.772
1.830 -0.570 4.663
P Y Al
1 2 1
Cartesian
1.462 2.930 5.235 P
0.731 1.465 2.618 Y
2.192 4.394 7.853 Y
0.000 0.000 0.000 Al
```

symmetry = Fm-3m (225)
DOS at the Fermi energy = 1.371 states/eV per atom
excess energy over the best structure of this formula in the dataset = 0.415 eV per atom
formation enthalpy at 0 K = -11.254 kcal/mol of atoms

PmPr3Tl4: optimized geometry, PBE.

```
PmPr3Tl4
1.0
-2.395 2.282 -1.809
0.676 -4.158 -6.142
-6.295 -4.355 6.772
Pr Tl Pm
3 4 1
Cartesian
-3.066 -2.269 1.197 Pr
-4.949 -3.962 -2.376 Pr
0.338 -2.079 -3.071 Pr
-2.821 -1.410 -1.973 Tl
-2.538 -3.160 -4.556 Tl
-5.477 -3.072 3.378 Tl
-5.194 -4.822 0.795 Tl
-1.198 1.141 -0.904 Pm
```

symmetry = Immm (71)
DOS at the Fermi energy = 0.935 states/eV per atom
excess energy over the best structure of this formula in the dataset = 0.143 eV per atom
formation enthalpy at 0 K = -5.828 kcal/mol of atoms

Taking the records one at a time from the top gives spin magnetization values of 7.24, 0.00, 1.18, 0.00, 0.96, 0.00, 0.00, 0.23, 0.00, 0.00, 4.99, 6.14, 0.00, 0.00, 0.00, 0.00, 1.74, 0.57, 0.00, 0.28 μB/f.u..